Entry 1:
# PBE-GGA NaGaGePt, relaxed
# Magnetization = 0.0 Bohr magnetons per cell
# Offset from the most stable computed form = 0 meV/atom
# SG = F-43m
data_NaGaGePt
_space_group_name_H-M_alt 'P 1'
_space_group_IT_number 1
_space_group_name_Hall 'P 1'
_cell_length_a 4.5566
_cell_length_b 4.5566
_cell_length_c 4.5566
_cell_angle_alpha 60.00
_cell_angle_beta 60.00
_cell_angle_gamma 60.00
loop_
_atom_site_label
_atom_site_type_symbol
_atom_site_fract_x
_atom_site_fract_y
_atom_site_fract_z
Ge1 Ge 0.0000 0.0000 0.0000
Na1 Na 0.7500 0.7500 0.7500
Pt1 Pt 0.2500 0.2500 0.2500
Ga1 Ga 0.5000 0.5000 0.5000

Entry 2:
# PBE-GGA NaGaGePt, relaxed
# Magnetization = 0.0 Bohr magnetons per cell
# Offset from the most stable computed form = 183 meV/atom
# SG = F-43m
data_NaGaGePt
_space_group_name_H-M_alt 'P 1'
_space_group_IT_number 1
_space_group_name_Hall 'P 1'
_cell_length_a 4.6403
_cell_length_b 4.6403
_cell_length_c 4.6403
_cell_angle_alpha 60.00
_cell_angle_beta 60.00
_cell_angle_gamma 60.00
loop_
_atom_site_label
_atom_site_type_symbol
_atom_site_fract_x
_atom_site_fract_y
_atom_site_fract_z
Ge1 Ge 0.2500 0.2500 0.2500
Ga1 Ga 0.0000 0.0000 0.0000
Na1 Na 0.7500 0.7500 0.7500
Pt1 Pt 0.5000 0.5000 0.5000